This record from Alexandria describes an optimized crystal structure of NpIO5. The functional is GGA-PBE.

a = 5.7721 Å, b = 5.7721 Å, c = 8.0342 Å
α = 70.81°, β = 70.81°, γ = 78.25°
Closest atoms and distances in Å follow each position.
Positions (direct):
O 0.2303 0.2743 0.8850  1 I 2.02, 1 Np 2.05
O 0.7697 0.7257 0.1150  1 I 2.02, 1 Np 2.05
O 0.9279 0.0721 0.7500  2 Np 2.08
O 0.7257 0.7697 0.6150  1 I 2.02, 1 Np 2.05
O 0.2743 0.2303 0.3850  1 I 2.02, 1 Np 2.05
O 0.7059 0.3209 0.4200  1 I 1.85
O 0.0721 0.9279 0.2500  2 Np 2.08
O 0.2941 0.6791 0.5800  1 I 1.85
O 0.6791 0.2941 0.0800  1 I 1.85
O 0.3209 0.7059 0.9200  1 I 1.85
Np 0.0000 0.0000 0.0000  4 O 2.05-2.08
Np 0.0000 0.0000 0.5000  4 O 2.05-2.08
I 0.5297 0.4703 0.2500  4 O 1.85-2.02
I 0.4703 0.5297 0.7500  4 O 1.85-2.02

Summary:
SG: No. 15
Magnetic moment in μB per atom: 0.286
Uncorrected formation energy in meV/atom: -1571
Calculated density in g/cm³: 6.2
Density of states at the Fermi level in states/eV/cell: 9.91
E above lowest polymorph in meV/atom: 23.4

---

This record from Alexandria describes an optimized crystal structure of Np2IO7. The functional is GGA-PBE.

a = 4.1704 Å, b = 6.5403 Å, c = 7.5798 Å
α = 115.56°, β = 90.00°, γ = 90.00°
Closest atoms and distances in Å follow each position.
Positions (direct):
O 0.0000 0.3419 0.6839  2 Np 2.09
O 0.5000 0.3781 0.3121  1 Np 1.82
O 0.5000 0.0661 0.6879  1 Np 1.82
O 0.0000 0.6581 0.3161  2 Np 2.09
O 0.5000 0.9339 0.3121  1 Np 1.82
O 0.5000 0.5000 0.0000  2 Np 2.10
O 0.5000 0.6219 0.6879  1 Np 1.82
Np 0.5000 0.6536 0.3073  2 O 1.82
Np 0.5000 0.3464 0.6927  2 O 1.82
I 0.0000 0.0000 0.0000  8 O 3.32

Summary:
SG: No. 65
Magnetic moment in μB per atom: 0.087
Uncorrected formation energy in meV/atom: -1968
Calculated density in g/cm³: 6.3
Density of states at the Fermi level in states/eV/cell: 6.47

---

This record from Alexandria describes an optimized crystal structure of Np2IO11. The functional is GGA-PBE.

a = 8.8591 Å, b = 8.1823 Å, c = 9.2219 Å
α = 75.16°, β = 61.28°, γ = 57.23°
Closest atoms and distances in Å follow each position.
Positions (direct):
O 0.5535 0.9903 0.7988  1 Np 1.96
O 0.7693 0.6939 0.0068  1 I 1.86
O 0.4570 0.9797 0.2696  1 Np 1.89
O 0.9666 0.8198 0.4665  1 Np 1.82
O 0.8730 0.8198 0.2007  2 Np 2.02-2.20
O 0.2470 0.3198 0.9665  1 Np 1.82
O 0.0301 0.1940 0.5068  1 I 1.86
O 0.1160 0.0373 0.2209  1 I 1.87
O 0.4788 0.2126 0.5316  1 Np 1.79
O 0.1517 0.1460 0.7708  1 O 1.32
O 0.9180 0.9273 0.7738  1 I 1.89
O 0.1259 0.5372 0.7208  1 I 1.87
O 0.6066 0.3198 0.7006  2 Np 2.02-2.20
O 0.4142 0.6550 0.4189  1 O 1.32
O 0.6379 0.2478 0.9887  1 Np 1.84
O 0.6253 0.7478 0.4887  1 Np 1.84
O 0.2771 0.7127 0.0317  1 Np 1.79
O 0.7935 0.4798 0.7698  1 Np 1.89
O 0.1573 0.4903 0.2987  1 Np 1.96
O 0.8809 0.4274 0.2739  1 I 1.89
O 0.0117 0.1552 0.9189  1 O 1.32
O 0.4315 0.6459 0.2708  1 O 1.32
Np 0.1212 0.7533 0.2485  3 O 1.79-1.96
Np 0.3771 0.2532 0.7485  3 O 1.79-1.96
Np 0.6723 0.7339 0.2743  3 O 1.84-2.02
Np 0.8194 0.2339 0.7743  3 O 1.84-2.02
I 0.1260 0.2330 0.2799  3 O 1.86-1.89
I 0.8612 0.7330 0.7799  3 O 1.86-1.89

Summary:
SG: No. 9
Magnetic moment in μB per atom: 0.074
Uncorrected formation energy in meV/atom: -1499
Calculated density in g/cm³: 5.2

---

This record from Alexandria describes an optimized crystal structure of NpPIO4. The functional is GGA-PBE.

a = 6.3073 Å, b = 6.3073 Å, c = 6.6061 Å
α = 79.76°, β = 79.76°, γ = 66.50°
Closest atoms and distances in Å follow each position.
Positions (direct):
O 0.4881 0.1386 0.1454  1 P 1.58
O 0.6994 0.6994 0.5078  1 P 1.54
O 0.1386 0.4881 0.1454  1 P 1.58
O 0.8614 0.5119 0.8546  1 P 1.58
O 0.4881 0.4881 0.7716  1 P 1.53
O 0.5119 0.5119 0.2284  1 P 1.53
O 0.5119 0.8614 0.8546  1 P 1.58
O 0.3006 0.3006 0.4922  1 P 1.54
I 0.9842 0.9842 0.7514  2 Np 3.18-3.38, 2 I 3.27-3.37, 7 O 3.27-3.46
I 0.0158 0.0158 0.2486  2 Np 3.18-3.38, 2 I 3.27-3.37, 7 O 3.27-3.46
Np 0.2696 0.2696 0.8378  6 O 2.24-2.49
Np 0.7304 0.7304 0.1622  6 O 2.24-2.49
P 0.6364 0.6364 0.7402  4 O 1.53-1.58
P 0.3636 0.3636 0.2598  4 O 1.53-1.58

Summary:
SG: No. 12
Magnetic moment in μB per atom: 0.463
Uncorrected formation energy in meV/atom: -2195
Calculated density in g/cm³: 6.5
Density of states at the Fermi level in states/eV/cell: 18.75

---

What is the formula in the second record? Np2IO7